(1)
Computed, not measured: an optimized crystal structure of YErAs2 at the PBE level of DFT.

Lattice parameters (Å, degrees): 4.0650 4.0650 20.9351 90.00 90.00 120.00
Last column: nearest neighbours and their distance in Å.
Space group R3m (No. 160, hexagonal axes)
Asymmetric unit:
Y 0.0000 0.0000 0.0000 [3 per cell]  6 As 2.92-2.98
Er 0.0000 0.0000 0.1712 [3 per cell]  6 As 2.87-2.93
As 0.0000 0.0000 0.5833 [3 per cell]  3 Er 2.87, 3 Y 2.92
As 0.0000 0.0000 0.7542 [3 per cell]  3 Er 2.93, 3 Y 2.98

Calculated values
Mass density, g cm⁻³: 6.75
Raw total energy, eV per atom: -6.4713



(2)
Computed, not measured: an optimized crystal structure of La2Tb2Pm2Sm at the PBE level of DFT.

Lattice parameters (Å, degrees): 11.5441 5.1632 8.1788 90.00 98.05 90.00
Last column: nearest neighbours and their distance in Å.
Space group C2/m (No. 12)
Asymmetric unit:
La 0.1425 0.0000 0.4263 [4 per cell]  1 Sm 3.64, 5 Tb 3.64-3.68, 3 La 3.66-3.67, 3 Pm 3.66-3.69
Tb 0.0705 0.5000 0.7163 [4 per cell]  4 Pm 3.63-3.65, 2 Sm 3.64, 5 La 3.64-3.68, 1 Tb 3.68
Pm 0.2154 0.5000 0.1404 [4 per cell]  2 Pm 3.62, 3 Sm 3.63-3.66, 4 Tb 3.63-3.65, 3 La 3.66-3.69
Sm 0.0000 0.0000 0.0000 [2 per cell]  6 Pm 3.63-3.66, 4 Tb 3.64, 2 La 3.64

Calculated values
Mass density, g cm⁻³: 7.13
Raw total energy, eV per atom: -4.7396



(3)
Computed, not measured: an optimized crystal structure of AcGe2Pd2 at the PBE level of DFT.

Lattice parameters (Å, degrees): 4.5158 4.5158 10.1903 90.00 90.00 90.00
Last column: nearest neighbours and their distance in Å.
Space group I4/mmm (No. 139)
Asymmetric unit:
Ac 0.0000 0.0000 0.0000 [2 per cell]  8 Pd 3.40, 10 Ge 3.45-3.80
Ge 0.0000 0.0000 0.3728 [4 per cell]  4 Pd 2.58, 1 Ge 2.59
Pd 0.0000 0.5000 0.2500 [4 per cell]  4 Ge 2.58

Calculated values
Mass density, g cm⁻³: 9.35
Raw total energy, eV per atom: -5.5648



Formation energy, respectively: -1.39 0.02 -0.82 eV/atom.